# SiPd4Pt, relaxed, DFT PBE
# Magnetic moment (μB per cell): 0.000
# Fermi-level density of states (states/eV/f.u.): 4.20
data_SiPd4Pt
_chemical_formula_sum 'Si4 Pd16 Pt4'
_symmetry_space_group_name_H-M 'C 1 2/c 1'
_symmetry_Int_Tables_number 15
_cell_length_a 7.284
_cell_length_b 10.847
_cell_length_c 4.978
_cell_angle_alpha 90.00
_cell_angle_beta 109.83
_cell_angle_gamma 90.00
loop_
_symmetry_equiv_pos_as_xyz
'x,y,z'
'-x,-y,-z'
'-x,y,-z+1/2'
'x,-y,z+1/2'
'x+1/2,y+1/2,z'
'-x+1/2,-y+1/2,-z'
'-x+1/2,y+1/2,-z+1/2'
'x+1/2,-y+1/2,z+1/2'
loop_
_atom_site_label
_atom_site_fract_x
_atom_site_fract_y
_atom_site_fract_z
Si1 0.000 0.001 0.250
Pd1 0.110 0.176 0.556
Pd2 0.216 0.399 0.863
Pt1 0.000 0.392 0.250

# CuSbOs2, relaxed, DFT PBE
# Magnetic moment (μB per cell): 0.001
# Fermi-level density of states (states/eV/f.u.): 4.66
data_CuSbOs2
_chemical_formula_sum 'Cu1 Sb1 Os2'
_symmetry_space_group_name_H-M 'P 4/m m m'
_symmetry_Int_Tables_number 123
_symmetry_space_group_name_Hall '-P 4 2'
_cell_length_a 4.360
_cell_length_b 4.360
_cell_length_c 3.205
_cell_angle_alpha 90.00
_cell_angle_beta 90.00
_cell_angle_gamma 90.00
loop_
_atom_site_label
_atom_site_fract_x
_atom_site_fract_y
_atom_site_fract_z
Cu1 0.000 0.000 0.000
Sb1 0.500 0.500 0.000
Os1 0.000 0.500 0.500

no.,calculated total energy (eV/atom)
1,-5.605
2,-7.069